Entry 1:
## Nb3HgCl (GGA-PBE)

Data for crystalline Nb3HgCl at its relaxed geometry.

a = 4.593 Å, b = 4.593 Å, c = 4.593 Å
α = 90.00°, β = 90.00°, γ = 90.00°
Space group Pm-3m (No. 221)
Inequivalent atoms, fractional coordinates:
Nb (0.000, 0.000, 0.500) x3
Hg (0.500, 0.500, 0.500) x1
Cl (0.000, 0.000, 0.000) x1

Summary:
The calculation puts the spin magnetization at 0.0 μB/f.u. Its crystal system is cubic. As for the raw formation energy: 0.604 eV per atom.



Entry 2:
## LaCdAg2 (GGA-PBE)

Data for crystalline LaCdAg2 at its relaxed geometry.

a = 7.331 Å, b = 7.343 Å, c = 3.596 Å
α = 90.00°, β = 90.00°, γ = 90.00°
Space group Cmmm (No. 65)
Inequivalent atoms, fractional coordinates:
La (0.000, 0.000, 0.000) x2
Cd (0.000, 0.500, 0.000) x2
Ag (0.250, 0.250, 0.500) x4

Summary:
The calculation puts the spin magnetization at 0.0 μB/f.u. For the formation energy, the calculation gives -0.0818 eV per atom. Its crystal system is orthorhombic.



Entry 3:
## NaLi14In (GGA-PBE)

Data for crystalline NaLi14In at its relaxed geometry.

a = 6.212 Å, b = 6.212 Å, c = 8.421 Å
α = 90.00°, β = 90.00°, γ = 90.00°
Space group P4/mmm (No. 123)
Inequivalent atoms, fractional coordinates:
Na (0.000, 0.000, 0.000) x1
Li (0.000, 0.000, 0.500) x1
Li (0.000, 0.500, 0.000) x2
Li (0.000, 0.500, 0.500) x2
Li (0.263, 0.263, 0.254) x8
Li (0.500, 0.500, 0.500) x1
In (0.500, 0.500, 0.000) x1

Summary:
The calculation puts the spin magnetization at 0.0 μB/f.u. For the formation energy, the calculation gives -0.0498 eV per atom. Its crystal system is tetragonal.



Entry 4:
## K2MgSbS4 (GGA-PBE)

Data for crystalline K2MgSbS4 at its relaxed geometry.

a = 6.339 Å, b = 14.228 Å, c = 22.730 Å
α = 90.00°, β = 90.00°, γ = 90.00°
Space group Fddd (No. 70, origin choice 2)
Inequivalent atoms, fractional coordinates:
K (0.125, 0.125, 0.307) x16
Mg (0.125, 0.125, 0.125) x8
Sb (0.125, 0.125, 0.625) x8
S (0.118, 0.271, 0.428) x32

Summary:
The calculation puts the spin magnetization at 0.9 μB/f.u. Its crystal system is orthorhombic. As for the raw formation energy: -0.803 eV per atom.